{
  "formula": "Pm6Nd2ErMg",
  "functional": "GGA-PBE",
  "state": "optimized geometry",
  "formation_enthalpy_0k_mev_per_atom": 109,
  "lattice": [[-5.5609, 7.7260, 1.8115], [0.0116, 1.2081, -8.7491], [-5.8408, -5.8044, 3.1938]],
  "species": ["Pm", "Pm", "Pm", "Pm", "Pm", "Pm", "Pm", "Pm", "Pm", "Pm", "Pm", "Pm", "Nd", "Nd", "Nd", "Nd", "Er", "Er", "Mg", "Mg"],
  "frac_coords": [[0.0516, 0.1255, 0.7579], [0.4484, 0.2421, 0.8745], [0.9484, 0.8745, 0.2421], [0.5516, 0.7579, 0.1255], [0.3059, 0.9964, 0.4279], [0.1941, 0.5721, 0.0036], [0.6941, 0.0036, 0.5721], [0.8059, 0.4279, 0.9964], [0.1144, 0.7068, 0.5010], [0.3856, 0.4990, 0.2932], [0.8856, 0.2932, 0.4990], [0.6144, 0.5010, 0.7068], [0.4516, 0.7967, 0.7001], [0.0484, 0.2999, 0.2033], [0.5484, 0.2033, 0.2999], [0.9516, 0.7001, 0.7967], [0.2500, 0.9825, 0.0175], [0.7500, 0.0175, 0.9825], [0.2500, 0.4079, 0.5921], [0.7500, 0.5921, 0.4079]]
}

{
  "formula": "PmNd2ErMg",
  "functional": "GGA-PBE",
  "state": "optimized geometry",
  "formation_enthalpy_0k_mev_per_atom": 157,
  "lattice": [[-3.3944, 0.6989, -6.5474], [-6.6056, -0.0395, 3.4203], [0.2300, 5.9177, 0.5125]],
  "species": ["Pm", "Pm", "Nd", "Nd", "Nd", "Nd", "Er", "Er", "Mg", "Mg"],
  "frac_coords": [[0.1553, 0.5000, 0.7500], [0.8447, 0.5000, 0.2500], [0.6883, 0.7184, 0.7500], [0.6883, 0.2816, 0.7500], [0.3117, 0.7184, 0.2500], [0.3117, 0.2816, 0.2500], [0.6315, 0.0000, 0.2500], [0.3685, 0.0000, 0.7500], [0.0000, 0.0000, 0.0000], [0.0000, 0.0000, 0.5000]]
}

{
  "formula": "Pm4NdEr2Mg",
  "functional": "GGA-PBE",
  "state": "optimized geometry",
  "formation_enthalpy_0k_mev_per_atom": 63,
  "lattice": [[5.8337, 0.0000, 0.0000], [0.0001, 9.5536, -0.5135], [0.0000, 3.7937, 4.4254]],
  "species": ["Pm", "Pm", "Pm", "Pm", "Nd", "Er", "Er", "Mg"],
  "frac_coords": [[0.0000, 0.7454, 0.7549], [0.0000, 0.2546, 0.2451], [0.5000, 0.7459, 0.2536], [0.5000, 0.2541, 0.7464], [0.0000, 0.5000, 0.5000], [0.0000, 0.0000, 0.0000], [0.5000, 0.0000, 0.5000], [0.5000, 0.5000, 0.0000]]
}

{
  "formula": "PmNd6Er2Mg",
  "functional": "GGA-PBE",
  "state": "optimized geometry",
  "formation_enthalpy_0k_mev_per_atom": 106,
  "lattice": [[-6.0993, 0.8805, -7.2383], [5.6207, -5.1119, -4.0988], [-4.9360, -5.2232, 4.7831]],
  "species": ["Pm", "Pm", "Nd", "Nd", "Nd", "Nd", "Nd", "Nd", "Nd", "Nd", "Nd", "Nd", "Nd", "Nd", "Er", "Er", "Er", "Er", "Mg", "Mg"],
  "frac_coords": [[0.2500, 0.9360, 0.0640], [0.7500, 0.0640, 0.9360], [0.0747, 0.0786, 0.7409], [0.4253, 0.2591, 0.9214], [0.9253, 0.9214, 0.2591], [0.5747, 0.7409, 0.0786], [0.3288, 0.0335, 0.4622], [0.1712, 0.5378, 0.9665], [0.6712, 0.9665, 0.5378], [0.8288, 0.4622, 0.0335], [0.0961, 0.6729, 0.4376], [0.4039, 0.5624, 0.3271], [0.9039, 0.3271, 0.5624], [0.5961, 0.4376, 0.6729], [0.4062, 0.8002, 0.7311], [0.0938, 0.2689, 0.1998], [0.5938, 0.1998, 0.2689], [0.9062, 0.7311, 0.8002], [0.2500, 0.4023, 0.5977], [0.7500, 0.5977, 0.4023]]
}

{
  "formula": "Pm2Nd2Er2Mg",
  "functional": "GGA-PBE",
  "state": "optimized geometry",
  "formation_enthalpy_0k_mev_per_atom": -9,
  "lattice": [[-1.3388, 1.3852, -4.7935], [-1.5778, -1.9302, 2.6697], [-4.7744, 15.3244, 5.7619]],
  "species": ["Pm", "Pm", "Nd", "Nd", "Er", "Er", "Mg"],
  "frac_coords": [[0.5644, 0.1287, 0.6288], [0.4356, 0.8713, 0.3712], [0.7121, 0.4241, 0.9241], [0.2879, 0.5759, 0.0759], [0.8632, 0.7265, 0.2261], [0.1368, 0.2735, 0.7739], [0.0000, 0.0000, 0.5000]]
}

{
  "formula": "PmNdEr2Mg",
  "functional": "GGA-PBE",
  "state": "optimized geometry",
  "formation_enthalpy_0k_mev_per_atom": 29,
  "lattice": [[-2.8377, 3.7158, 1.6682], [-3.1033, -5.0588, -1.3970], [1.2748, -3.7137, 10.4404]],
  "species": ["Pm", "Pm", "Nd", "Nd", "Er", "Er", "Er", "Er", "Mg", "Mg"],
  "frac_coords": [[0.2466, 0.4931, 0.2555], [0.7534, 0.5069, 0.7445], [0.5472, 0.0943, 0.1516], [0.4528, 0.9057, 0.8484], [0.3520, 0.7040, 0.5473], [0.6480, 0.2960, 0.4527], [0.1547, 0.3094, 0.9489], [0.8453, 0.6906, 0.0511], [0.9462, 0.8925, 0.3604], [0.0538, 0.1075, 0.6396]]
}

{
  "formula": "PrNdErMg",
  "functional": "GGA-PBE",
  "state": "optimized geometry",
  "formation_enthalpy_0k_mev_per_atom": -29,
  "e_above_lowest_polymorph_mev_per_atom": 0.0,
  "lattice": [[3.7331, 0.0000, 0.0000], [0.0000, 3.7331, 0.0000], [0.0000, 0.0000, 9.0448]],
  "species": ["Pr", "Nd", "Er", "Mg"],
  "frac_coords": [[0.0000, 0.0000, 0.3747], [0.0000, 0.0000, 0.8391], [0.5000, 0.5000, 0.1053], [0.5000, 0.5000, 0.6088]]
}

{
  "formula": "Pr2Nd6ErMg",
  "functional": "GGA-PBE",
  "state": "optimized geometry",
  "formation_enthalpy_0k_mev_per_atom": 106,
  "lattice": [[-9.4922, 2.1323, 2.0363], [1.6744, -3.8695, 7.7314], [2.6095, 8.3786, -0.7356]],
  "species": ["Pr", "Pr", "Pr", "Pr", "Nd", "Nd", "Nd", "Nd", "Nd", "Nd", "Nd", "Nd", "Nd", "Nd", "Nd", "Nd", "Er", "Er", "Mg", "Mg"],
  "frac_coords": [[0.4484, 0.8005, 0.7101], [0.0516, 0.2899, 0.1995], [0.5516, 0.1995, 0.2899], [0.9484, 0.7101, 0.8005], [0.0513, 0.1210, 0.7488], [0.4487, 0.2512, 0.8790], [0.9487, 0.8790, 0.2512], [0.5513, 0.7488, 0.1210], [0.3074, 0.9962, 0.4254], [0.1926, 0.5746, 0.0038], [0.6926, 0.0038, 0.5746], [0.8074, 0.4254, 0.9962], [0.1147, 0.7002, 0.5035], [0.3853, 0.4965, 0.2998], [0.8853, 0.2998, 0.4965], [0.6147, 0.5035, 0.7002], [0.2500, 0.9862, 0.0138], [0.7500, 0.0138, 0.9862], [0.2500, 0.4037, 0.5963], [0.7500, 0.5963, 0.4037]]
}

{
  "formula": "PrNd6Er2Mg",
  "functional": "GGA-PBE",
  "state": "optimized geometry",
  "formation_enthalpy_0k_mev_per_atom": 104,
  "lattice": [[8.9319, -2.3301, -2.4181], [0.8678, 8.5256, -1.0894], [0.8678, -1.4046, 8.4794]],
  "species": ["Pr", "Pr", "Nd", "Nd", "Nd", "Nd", "Nd", "Nd", "Nd", "Nd", "Nd", "Nd", "Nd", "Nd", "Er", "Er", "Er", "Er", "Mg", "Mg"],
  "frac_coords": [[0.2500, 0.9356, 0.0644], [0.7500, 0.0644, 0.9356], [0.0745, 0.0784, 0.7376], [0.4255, 0.2624, 0.9216], [0.9255, 0.9216, 0.2624], [0.5745, 0.7376, 0.0784], [0.3295, 0.0342, 0.4629], [0.1705, 0.5371, 0.9658], [0.6705, 0.9658, 0.5371], [0.8295, 0.4629, 0.0342], [0.0960, 0.6720, 0.4372], [0.4040, 0.5628, 0.3280], [0.9040, 0.3280, 0.5628], [0.5960, 0.4372, 0.6720], [0.4055, 0.7987, 0.7308], [0.0945, 0.2692, 0.2013], [0.5945, 0.2013, 0.2692], [0.9055, 0.7308, 0.7987], [0.2500, 0.4019, 0.5981], [0.7500, 0.5981, 0.4019]]
}

{
  "formula": "Pr4Nd2ErMg",
  "functional": "GGA-PBE",
  "state": "optimized geometry",
  "formation_enthalpy_0k_mev_per_atom": 4,
  "lattice": [[-0.2964, 1.1507, -4.9764], [4.0369, -2.9994, -0.9341], [-2.2230, -10.9694, -2.4043]],
  "species": ["Pr", "Pr", "Pr", "Pr", "Nd", "Nd", "Er", "Mg"],
  "frac_coords": [[0.0000, 0.7480, 0.7523], [0.0000, 0.2520, 0.2478], [0.5000, 0.7515, 0.2482], [0.5000, 0.2485, 0.7518], [0.0000, 0.0000, 0.0000], [0.5000, 0.0000, 0.5000], [0.0000, 0.5000, 0.5000], [0.5000, 0.5001, 0.9999]]
}

{
  "formula": "PrNdErMg",
  "functional": "GGA-PBE",
  "state": "optimized geometry",
  "formation_enthalpy_0k_mev_per_atom": 12,
  "e_above_lowest_polymorph_mev_per_atom": 40.4,
  "lattice": [[-1.2062, 4.2609, -3.4468], [-5.3396, 1.1242, -1.3097], [-2.4685, 4.6217, 2.0091]],
  "species": ["Pr", "Mg", "Nd", "Er"],
  "frac_coords": [[0.2500, 0.2500, 0.2500], [0.0000, 0.0000, 0.0000], [0.7500, 0.7500, 0.7500], [0.5000, 0.5000, 0.5000]]
}

{
  "formula": "Pr6Nd2Er3Mg",
  "functional": "GGA-PBE",
  "state": "optimized geometry",
  "formation_enthalpy_0k_mev_per_atom": 11,
  "lattice": [[6.2823, -0.0030, -0.0117], [-3.1422, 5.4401, -0.0117], [-1.0282, -1.7803, 11.7501]],
  "species": ["Pr", "Pr", "Pr", "Pr", "Pr", "Pr", "Nd", "Nd", "Er", "Er", "Er", "Mg"],
  "frac_coords": [[0.9164, 0.5858, 0.7470], [0.7529, 0.7529, 0.2538], [0.0836, 0.4142, 0.2530], [0.5858, 0.9164, 0.7470], [0.2471, 0.2471, 0.7462], [0.4142, 0.0836, 0.2530], [0.3330, 0.6670, 0.0000], [0.6670, 0.3330, 0.0000], [0.1661, 0.8339, 0.5000], [0.8339, 0.1661, 0.5000], [0.5000, 0.5000, 0.5000], [0.0000, 0.0000, 0.0000]]
}

{
  "formula": "Pr6NdEr2Mg",
  "functional": "GGA-PBE",
  "state": "optimized geometry",
  "formation_enthalpy_0k_mev_per_atom": 102,
  "lattice": [[8.9445, -2.3137, -2.4011], [0.9088, 8.5677, -1.0953], [0.9088, -1.4120, 8.5212]],
  "species": ["Pr", "Pr", "Pr", "Pr", "Pr", "Pr", "Pr", "Pr", "Pr", "Pr", "Pr", "Pr", "Nd", "Nd", "Er", "Er", "Er", "Er", "Mg", "Mg"],
  "frac_coords": [[0.0749, 0.0797, 0.7406], [0.4251, 0.2594, 0.9203], [0.9251, 0.9203, 0.2594], [0.5749, 0.7406, 0.0797], [0.3285, 0.0334, 0.4598], [0.1715, 0.5402, 0.9666], [0.6715, 0.9666, 0.5402], [0.8285, 0.4598, 0.0334], [0.0964, 0.6726, 0.4399], [0.4036, 0.5601, 0.3274], [0.9036, 0.3274, 0.5601], [0.5964, 0.4399, 0.6726], [0.2500, 0.9366, 0.0634], [0.7500, 0.0634, 0.9366], [0.4061, 0.7997, 0.7316], [0.0939, 0.2684, 0.2003], [0.5939, 0.2003, 0.2684], [0.9061, 0.7316, 0.7997], [0.2500, 0.4022, 0.5978], [0.7500, 0.5978, 0.4022]]
}

{
  "formula": "PrNd5Er2Mg",
  "functional": "GGA-PBE",
  "state": "optimized geometry",
  "formation_enthalpy_0k_mev_per_atom": 240,
  "lattice": [[9.5420, 0.0000, 0.0000], [0.0000, 9.5420, 0.0000], [-4.7710, -4.7710, 6.8377]],
  "species": ["Pr", "Pr", "Nd", "Nd", "Nd", "Nd", "Nd", "Nd", "Nd", "Nd", "Nd", "Nd", "Er", "Er", "Er", "Er", "Mg", "Mg"],
  "frac_coords": [[0.2500, 0.2500, 0.5000], [0.7500, 0.7500, 0.5000], [0.9391, 0.4391, 0.2651], [0.6740, 0.1740, 0.7349], [0.0609, 0.5609, 0.7349], [0.1740, 0.0609, 0.7349], [0.5609, 0.6740, 0.7349], [0.8260, 0.9391, 0.2651], [0.4391, 0.3260, 0.2651], [0.3260, 0.8260, 0.2651], [0.5000, 0.5000, 0.0000], [0.0000, 0.0000, 0.0000], [0.1107, 0.3893, 0.0000], [0.6107, 0.1107, 0.0000], [0.3893, 0.8893, 0.0000], [0.8893, 0.6107, 0.0000], [0.2500, 0.7500, 0.5000], [0.7500, 0.2500, 0.5000]]
}

{
  "formula": "Pr6Nd3Er2Mg",
  "functional": "GGA-PBE",
  "state": "optimized geometry",
  "formation_enthalpy_0k_mev_per_atom": 29,
  "lattice": [[-0.4895, -6.2783, -0.7348], [3.5319, 2.3874, 4.6929], [-10.3929, 1.2137, 5.7623]],
  "species": ["Pr", "Pr", "Pr", "Pr", "Pr", "Pr", "Nd", "Nd", "Nd", "Er", "Er", "Mg"],
  "frac_coords": [[0.9202, 0.5880, 0.7570], [0.7481, 0.7481, 0.2449], [0.0798, 0.4120, 0.2430], [0.5880, 0.9202, 0.7570], [0.2519, 0.2519, 0.7551], [0.4120, 0.0798, 0.2430], [0.1672, 0.8328, 0.5000], [0.8328, 0.1672, 0.5000], [0.5000, 0.5000, 0.5000], [0.3338, 0.6662, 0.0000], [0.6662, 0.3338, 0.0000], [0.0000, 0.0000, 0.0000]]
}

{
  "formula": "Pr6Nd2ErMg",
  "functional": "GGA-PBE",
  "state": "optimized geometry",
  "formation_enthalpy_0k_mev_per_atom": 110,
  "lattice": [[-2.1767, 9.4155, 1.4333], [-1.9204, -0.0113, -8.5742], [-6.6481, -3.1417, 4.8102]],
  "species": ["Pr", "Pr", "Pr", "Pr", "Pr", "Pr", "Pr", "Pr", "Pr", "Pr", "Pr", "Pr", "Nd", "Nd", "Nd", "Nd", "Er", "Er", "Mg", "Mg"],
  "frac_coords": [[0.0565, 0.0963, 0.7454], [0.4435, 0.2546, 0.9037], [0.9435, 0.9037, 0.2546], [0.5565, 0.7454, 0.0963], [0.3136, 0.0105, 0.4430], [0.1864, 0.5570, 0.9895], [0.6864, 0.9895, 0.5570], [0.8136, 0.4430, 0.0105], [0.1016, 0.6831, 0.4660], [0.3984, 0.5340, 0.3169], [0.8984, 0.3169, 0.5340], [0.6016, 0.4660, 0.6831], [0.4323, 0.7964, 0.7237], [0.0677, 0.2763, 0.2036], [0.5677, 0.2036, 0.2763], [0.9323, 0.7237, 0.7964], [0.2500, 0.9687, 0.0313], [0.7500, 0.0313, 0.9687], [0.2500, 0.4022, 0.5978], [0.7500, 0.5978, 0.4022]]
}

{
  "formula": "Pr3Nd6Er2Mg",
  "functional": "GGA-PBE",
  "state": "optimized geometry",
  "formation_enthalpy_0k_mev_per_atom": 31,
  "lattice": [[-0.3879, -5.8207, -2.4359], [5.6070, 2.8871, 0.4371], [-0.2373, -3.5899, 11.3759]],
  "species": ["Pr", "Pr", "Pr", "Nd", "Nd", "Nd", "Nd", "Nd", "Nd", "Er", "Er", "Mg"],
  "frac_coords": [[0.1671, 0.8329, 0.5000], [0.8329, 0.1671, 0.5000], [0.5000, 0.5000, 0.5000], [0.9208, 0.5890, 0.7579], [0.7478, 0.7478, 0.2438], [0.0792, 0.4110, 0.2421], [0.5890, 0.9208, 0.7579], [0.2522, 0.2522, 0.7562], [0.4110, 0.0792, 0.2421], [0.3338, 0.6662, 0.0000], [0.6662, 0.3338, 0.0000], [0.0000, 0.0000, 0.0000]]
}

{
  "formula": "Pr2Nd2Er2Mg",
  "functional": "GGA-PBE",
  "state": "optimized geometry",
  "formation_enthalpy_0k_mev_per_atom": 88,
  "lattice": [[-0.4374, -3.2430, -1.3009], [1.8831, -0.6828, 5.8350], [-11.7680, 1.7734, -0.4642]],
  "species": ["Pr", "Pr", "Nd", "Nd", "Er", "Er", "Mg"],
  "frac_coords": [[0.5530, 0.1061, 0.7664], [0.4470, 0.8939, 0.2336], [0.7668, 0.5336, 0.6406], [0.2332, 0.4664, 0.3594], [0.6664, 0.3329, 0.0806], [0.3336, 0.6671, 0.9194], [0.0000, 0.0000, 0.5000]]
}

{
  "formula": "PrNd4Er2Mg",
  "functional": "GGA-PBE",
  "state": "optimized geometry",
  "formation_enthalpy_0k_mev_per_atom": 58,
  "lattice": [[5.8754, 0.0000, 0.0000], [0.0001, 9.6067, -0.0813], [0.0001, 3.6239, 4.6184]],
  "species": ["Pr", "Nd", "Nd", "Nd", "Nd", "Er", "Er", "Mg"],
  "frac_coords": [[0.5000, 0.5000, 0.0000], [0.0000, 0.7466, 0.7527], [0.0000, 0.2534, 0.2472], [0.5000, 0.7460, 0.2544], [0.5000, 0.2540, 0.7456], [0.0000, 0.0000, 0.0000], [0.5000, 0.0000, 0.5000], [0.0000, 0.5000, 0.5000]]
}

{
  "formula": "NdErMgPt",
  "functional": "GGA-PBE",
  "state": "optimized geometry",
  "formation_enthalpy_0k_mev_per_atom": -548,
  "lattice": [[5.1505, 0.0000, 0.0000], [2.5752, 4.4604, 0.0000], [2.5752, 1.4868, 4.2053]],
  "species": ["Mg", "Nd", "Pt", "Er"],
  "frac_coords": [[0.2500, 0.2500, 0.2500], [0.5000, 0.5000, 0.5000], [0.7500, 0.7500, 0.7500], [0.0000, 0.0000, 0.0000]]
}